1.
# AgAsAuO (PBE, optimized geometry)
# Energy above the most stable polymorph in this dataset = 0.00 eV/f.u.
# Raw total energy = -3.940 eV/atom
data_AgAsAuO
_chemical_formula_sum 'Ag2 As2 Au2 O2'
_symmetry_space_group_name_H-M 'P 4/n m m'
_symmetry_Int_Tables_number 129
_cell_length_a 3.7014
_cell_length_b 3.7014
_cell_length_c 9.7168
_cell_angle_alpha 90.00
_cell_angle_beta 90.00
_cell_angle_gamma 90.00
loop_
_symmetry_equiv_pos_as_xyz
'x,y,z'
'-x,-y,-z'
'-y+1/2,x,z'
'y+1/2,-x,-z'
'-x+1/2,-y+1/2,z'
'x+1/2,y+1/2,-z'
'y,-x+1/2,z'
'-y,x+1/2,-z'
'x+1/2,-y,-z'
'-x+1/2,y,z'
'-y,-x,-z'
'y,x,z'
'-x,y+1/2,-z'
'x,-y+1/2,z'
'y+1/2,x+1/2,-z'
'-y+1/2,-x+1/2,z'
loop_
_atom_site_label
_atom_site_type_symbol
_atom_site_fract_x
_atom_site_fract_y
_atom_site_fract_z
Ag1 Ag 0.2500 0.7500 0.0000
As1 As 0.2500 0.2500 0.3833
Au1 Au 0.2500 0.2500 0.7719
O1 O 0.2500 0.7500 0.5000



2.
# AgAsAuO (PBE, optimized geometry)
# Energy above the most stable polymorph in this dataset = 0.85 eV/f.u.
# Raw total energy = -3.727 eV/atom
data_AgAsAuO
_chemical_formula_sum 'Ag2 As2 Au2 O2'
_symmetry_space_group_name_H-M 'P m c 21'
_symmetry_Int_Tables_number 26
_cell_length_a 4.0348
_cell_length_b 6.5771
_cell_length_c 5.2995
_cell_angle_alpha 90.00
_cell_angle_beta 90.00
_cell_angle_gamma 90.00
loop_
_symmetry_equiv_pos_as_xyz
'x,y,z'
'-x,-y,z+1/2'
'-x,y,z'
'x,-y,z+1/2'
loop_
_atom_site_label
_atom_site_type_symbol
_atom_site_fract_x
_atom_site_fract_y
_atom_site_fract_z
Ag1 Ag 0.0000 0.2281 0.0000
As1 As 0.5000 0.4639 0.9205
Au1 Au 0.5000 0.1379 0.5313
O1 O 0.0000 0.1201 0.4430



3.
# AgAsAuO (PBE, optimized geometry)
# Energy above the most stable polymorph in this dataset = 0.74 eV/f.u.
# Raw total energy = -3.754 eV/atom
data_AgAsAuO
_chemical_formula_sum 'Ag2 As2 Au2 O2'
_symmetry_space_group_name_H-M 'P 4/n m m'
_symmetry_Int_Tables_number 129
_cell_length_a 4.4012
_cell_length_b 4.4012
_cell_length_c 7.7472
_cell_angle_alpha 90.00
_cell_angle_beta 90.00
_cell_angle_gamma 90.00
loop_
_symmetry_equiv_pos_as_xyz
'x,y,z'
'-x,-y,-z'
'-y+1/2,x,z'
'y+1/2,-x,-z'
'-x+1/2,-y+1/2,z'
'x+1/2,y+1/2,-z'
'y,-x+1/2,z'
'-y,x+1/2,-z'
'x+1/2,-y,-z'
'-x+1/2,y,z'
'-y,-x,-z'
'y,x,z'
'-x,y+1/2,-z'
'x,-y+1/2,z'
'y+1/2,x+1/2,-z'
'-y+1/2,-x+1/2,z'
loop_
_atom_site_label
_atom_site_type_symbol
_atom_site_fract_x
_atom_site_fract_y
_atom_site_fract_z
Ag1 Ag 0.2500 0.2500 0.0299
As1 As 0.2500 0.2500 0.6768
Au1 Au 0.2500 0.7500 0.5000
O1 O 0.2500 0.7500 0.0000



4.
# Rb4AgAs2Au (PBE, optimized geometry)
# Raw total energy = -2.837 eV/atom
data_Rb4AgAs2Au
_chemical_formula_sum 'Rb8 Ag2 As4 Au2'
_symmetry_space_group_name_H-M 'C 1 2/m 1'
_symmetry_Int_Tables_number 12
_cell_length_a 7.9877
_cell_length_b 10.5709
_cell_length_c 6.3903
_cell_angle_alpha 90.00
_cell_angle_beta 90.32
_cell_angle_gamma 90.00
loop_
_symmetry_equiv_pos_as_xyz
'x,y,z'
'-x,-y,-z'
'-x,y,-z'
'x,-y,z'
'x+1/2,y+1/2,z'
'-x+1/2,-y+1/2,-z'
'-x+1/2,y+1/2,-z'
'x+1/2,-y+1/2,z'
loop_
_atom_site_label
_atom_site_type_symbol
_atom_site_fract_x
_atom_site_fract_y
_atom_site_fract_z
Rb1 Rb 0.1494 0.1714 0.2476
Ag1 Ag 0.0000 0.5000 0.5000
As1 As 0.2503 0.0000 0.7515
Au1 Au 0.0000 0.5000 0.0000



| no. | density (g/cm3) |
| --- | --- |
| 1 | 9.873 |
| 2 | 9.346 |
| 3 | 8.758 |
| 4 | 4.903 |